Compound: Na3CoAsCO7
Source: Alexandria via LeMat-Bulk
Functional: PBE with a Hubbard U
Structure: optimized geometry

Geometry as CIF:
```
data_Na3CoAsCO7
_cell_length_a 5.282
_cell_length_b 6.856
_cell_length_c 9.131
_cell_angle_alpha 90.00
_cell_angle_beta 91.25
_cell_angle_gamma 90.00
_symmetry_space_group_name_H-M 'P 1'
_symmetry_Int_Tables_number 1
_symmetry_space_group_name_Hall 'P 1'
loop_
_atom_site_label
_atom_site_fract_x
_atom_site_fract_y
_atom_site_fract_z
_atom_site_occupancy
As1 0.205 0.250 0.583 1
As2 0.795 0.750 0.417 1
O1 0.199 0.750 0.083 1
O2 0.979 0.250 0.145 1
O3 0.557 0.250 0.117 1
O4 0.281 0.447 0.694 1
O5 0.021 0.750 0.855 1
O6 0.443 0.750 0.883 1
O7 0.719 0.553 0.306 1
O8 0.880 0.250 0.552 1
O9 0.801 0.250 0.917 1
O10 0.649 0.750 0.583 1
O11 0.281 0.053 0.694 1
O12 0.719 0.947 0.306 1
O13 0.120 0.750 0.448 1
O14 0.351 0.250 0.417 1
Na1 0.752 0.495 0.740 1
Na2 0.734 0.750 0.080 1
Na3 0.248 0.505 0.260 1
Na4 0.752 0.005 0.740 1
Na5 0.266 0.250 0.920 1
Na6 0.248 0.995 0.260 1
C1 0.780 0.250 0.058 1
C2 0.220 0.750 0.942 1
Co1 0.719 0.250 0.340 1
Co2 0.281 0.750 0.660 1
```

- raw total energy (eV per atom) = -6.0102
- DOS at the Fermi energy (states/eV/f.u.) = 0.0
- ρ (g cm⁻³) = 3.28

=====

Compound: NaCoAsCO7
Source: Alexandria via LeMat-Bulk
Functional: PBE with a Hubbard U
Structure: optimized geometry

Geometry as CIF:
```
data_NaCoAsCO7
_cell_length_a 6.219
_cell_length_b 5.249
_cell_length_c 9.576
_cell_angle_alpha 87.73
_cell_angle_beta 90.00
_cell_angle_gamma 90.00
_symmetry_space_group_name_H-M 'P 1'
_symmetry_Int_Tables_number 1
_symmetry_space_group_name_Hall 'P 1'
loop_
_atom_site_label
_atom_site_fract_x
_atom_site_fract_y
_atom_site_fract_z
_atom_site_occupancy
O1 0.233 0.344 0.027 1
O2 0.249 0.068 0.849 1
O3 0.249 0.471 0.797 1
O4 0.046 0.792 0.324 1
O5 0.546 0.208 0.676 1
O6 0.749 0.529 0.203 1
O7 0.258 0.872 0.593 1
O8 0.238 0.387 0.478 1
O9 0.758 0.128 0.407 1
O10 0.951 0.208 0.679 1
O11 0.749 0.932 0.151 1
O12 0.738 0.613 0.522 1
O13 0.733 0.656 0.973 1
O14 0.451 0.792 0.321 1
Co1 0.245 0.214 0.662 1
Co2 0.745 0.786 0.338 1
C1 0.243 0.296 0.902 1
C2 0.743 0.704 0.098 1
As1 0.751 0.288 0.558 1
As2 0.251 0.712 0.442 1
Na1 0.039 0.223 0.217 1
Na2 0.539 0.777 0.783 1
```

- raw total energy (eV per atom) = -6.1849
- ρ (g cm⁻³) = 2.99

=====

no.,magnetic moment (μB/f.u.)
1,3.063
2,1.052